(1)
A relaxed Ho2BeBPt6 crystal, computed with PBE-GGA.

Results
* crystal system: trigonal
* space group: R-3m, No. 166
* magnetization: 0.0 μB/f.u.

a = 5.5955 Å, b = 7.0330 Å, c = 5.5963 Å
α = 66.52°, β = 60.00°, γ = 90.00°
With the nearest neighbours (Å) after each atom.
Fractional coordinates of all 10 atoms:
Ho (0.7918, 0.3750, 0.4164)  9 Pt 2.98-3.09, 3 Be 3.32-3.33
Ho (0.2082, 0.6250, 0.5836)  9 Pt 2.98-3.09, 3 Be 3.32-3.33
Be (0.5000, 0.5000, 0.0000)  6 Pt 2.39-2.40
B (0.0000, 0.0000, 0.0000)  6 Pt 2.12
Pt (0.2419, 0.2093, 0.5161)  1 B 2.12
Pt (0.7580, 0.7907, 0.9674)  1 B 2.12
Pt (0.2746, 0.7907, 0.9674)  1 B 2.12
Pt (0.7254, 0.2093, 0.0326)  1 B 2.12
Pt (0.2420, 0.2093, 0.0326)  1 B 2.12
Pt (0.7581, 0.7907, 0.4839)  1 B 2.12

***

(2)
A relaxed Ho2BeB2Rh5 crystal, computed with PBE-GGA.

Results
* crystal system: tetragonal
* space group: P4/mbm, No. 127
* magnetization: 0.0 μB/f.u.

a = 3.1190 Å, b = 9.3889 Å, c = 9.3889 Å
α = 90.00°, β = 90.00°, γ = 90.00°
With the nearest neighbours (Å) after each atom.
Fractional coordinates of all 20 atoms:
Ho (0.0000, 0.6759, 0.1759)  3 B 2.64-2.87, 10 Rh 2.81-2.96
Ho (0.0000, 0.3241, 0.8241)  3 B 2.64-2.87, 10 Rh 2.81-2.96
Ho (0.0000, 0.1759, 0.3241)  3 B 2.64-2.87, 10 Rh 2.81-2.96
Ho (0.0000, 0.8241, 0.6759)  3 B 2.64-2.87, 10 Rh 2.81-2.96
Be (0.0000, 0.0000, 0.0000)  8 Rh 2.61
Be (0.0000, 0.5000, 0.5000)  8 Rh 2.61
B (0.0000, 0.1251, 0.6251)  6 Rh 2.25-2.28
B (0.0000, 0.8749, 0.3749)  6 Rh 2.25-2.28
B (0.0000, 0.6251, 0.8749)  6 Rh 2.25-2.28
B (0.0000, 0.3749, 0.1251)  6 Rh 2.25-2.28
Rh (0.5000, 0.2127, 0.0679)  2 B 2.25
Rh (0.5000, 0.7873, 0.9321)  2 B 2.25
Rh (0.5000, 0.0679, 0.7873)  2 B 2.25
Rh (0.5000, 0.7127, 0.4321)  2 B 2.25
Rh (0.5000, 0.9321, 0.2127)  2 B 2.25
Rh (0.5000, 0.2873, 0.5679)  2 B 2.25
Rh (0.5000, 0.5679, 0.7127)  2 B 2.25
Rh (0.5000, 0.4321, 0.2873)  2 B 2.25
Rh (0.5000, 0.5000, 0.0000)  4 B 2.28
Rh (0.5000, 0.0000, 0.5000)  4 B 2.28

***

In A^3/atom, the volume values for the records above are, in order, 16.935; 13.747.
In eV/atom, the formation energy from the elements values for the records above are, in order, -0.9459; -0.7369.